Record 1
VASP calculation (GGA-PBE) on crystalline La4Er5Th2 at its relaxed geometry.

Unit cell a=3.610 b=8.816 c=11.917 alpha=76.60 beta=81.30 gamma=89.99
Fractional positions:
La 0.085 0.213 0.328
La 0.271 0.678 0.958
La 0.729 0.322 0.042
La 0.915 0.787 0.672
Er 0.000 0.500 0.500
Er 0.180 0.947 0.140
Er 0.365 0.404 0.770
Er 0.635 0.596 0.230
Er 0.820 0.053 0.860
Th 0.454 0.140 0.593
Th 0.546 0.860 0.407

Output
magnetic moment = 0.000 μB per formula unit
volume = 33.13 A^3/atom
total DFT energy (no corrections) = -5.1814 eV/atom

Record 2
VASP calculation (GGA-PBE) on crystalline LiHo2Pt at its relaxed geometry.

Unit cell a=4.953 b=4.953 c=4.953 alpha=60.00 beta=60.00 gamma=60.00
Fractional positions:
Li 0.000 0.000 0.000
Ho 0.250 0.250 0.250
Ho 0.750 0.750 0.750
Pt 0.500 0.500 0.500

Output
magnetic moment = 0.000 μB per formula unit
polymorph energy (0 for the lowest one) = 0.0 meV per atom
volume = 21.48 A^3/atom
total DFT energy (no corrections) = -4.9624 eV/atom

Record 3
VASP calculation (GGA-PBE) on crystalline Li6MgSn6 at its relaxed geometry.

Unit cell a=5.758 b=5.758 c=9.548 alpha=90.00 beta=90.00 gamma=121.81
Fractional positions:
Li 0.000 0.000 0.244
Li 0.000 0.000 0.756
Li 0.000 0.500 0.246
Li 0.000 0.500 0.754
Li 0.500 0.000 0.246
Li 0.500 0.000 0.754
Mg 0.500 0.500 0.000
Sn 0.163 0.837 0.500
Sn 0.166 0.834 0.000
Sn 0.500 0.500 0.345
Sn 0.500 0.500 0.655
Sn 0.834 0.166 0.000
Sn 0.837 0.163 0.500

Output
magnetic moment = 0.000 μB per formula unit
volume = 20.69 A^3/atom
total DFT energy (no corrections) = -3.1125 eV/atom

Record 4
VASP calculation (GGA-PBE) on crystalline CrNi14Sb at its relaxed geometry.

Unit cell a=5.092 b=5.092 c=7.063 alpha=90.00 beta=90.00 gamma=90.00
Fractional positions:
Cr 0.000 0.000 0.000
Ni 0.000 0.000 0.500
Ni 0.000 0.500 0.000
Ni 0.000 0.500 0.500
Ni 0.244 0.244 0.258
Ni 0.244 0.244 0.742
Ni 0.244 0.756 0.258
Ni 0.244 0.756 0.742
Ni 0.500 0.000 0.000
Ni 0.500 0.000 0.500
Ni 0.500 0.500 0.500
Ni 0.756 0.244 0.258
Ni 0.756 0.244 0.742
Ni 0.756 0.756 0.258
Ni 0.756 0.756 0.742
Sb 0.500 0.500 0.000

Output
magnetic moment = 5.751 μB per formula unit
volume = 11.45 A^3/atom
total DFT energy (no corrections) = -5.9196 eV/atom
formation energy without anion corrections = -1.8 meV per atom

Record 5
VASP calculation (GGA-PBE) on crystalline TiPtW3 at its relaxed geometry.

Unit cell a=4.514 b=4.514 c=4.514 alpha=90.00 beta=90.00 gamma=90.00
Fractional positions:
Ti 0.000 0.000 0.000
Pt 0.500 0.500 0.500
W 0.000 0.000 0.500
W 0.000 0.500 0.000
W 0.500 0.000 0.000

Output
magnetic moment = 0.000 μB per formula unit
polymorph energy (0 for the lowest one) = 0.0 meV per atom
volume = 18.40 A^3/atom
total DFT energy (no corrections) = -8.7692 eV/atom

Record 6
VASP calculation (GGA-PBE) on crystalline BaSr3Bi2Se at its relaxed geometry.

Unit cell a=9.775 b=9.775 c=9.775 alpha=145.77 beta=144.42 gamma=50.20
Fractional positions:
Ba 0.000 0.000 0.000
Sr 0.320 0.820 0.500
Sr 0.500 0.500 0.000
Sr 0.680 0.180 0.500
Bi 0.133 0.633 0.500
Bi 0.867 0.367 0.500
Se 0.500 0.000 0.500

Output
magnetic moment = 0.000 μB per formula unit
volume = 43.45 A^3/atom
total DFT energy (no corrections) = -3.6454 eV/atom
formation energy without anion corrections = -1043.3 meV per atom

Record 7
VASP calculation (GGA-PBE) on crystalline CeP3Ir5 at its relaxed geometry.

Unit cell a=6.386 b=6.386 c=12.299 alpha=90.00 beta=90.00 gamma=144.14
Fractional positions:
Ce 0.145 0.855 0.750
Ce 0.855 0.145 0.250
P 0.123 0.877 0.250
P 0.394 0.606 0.051
P 0.394 0.606 0.449
P 0.606 0.394 0.551
P 0.606 0.394 0.949
P 0.877 0.123 0.750
Ir 0.000 0.000 0.000
Ir 0.000 0.000 0.500
Ir 0.214 0.786 0.080
Ir 0.214 0.786 0.420
Ir 0.435 0.565 0.640
Ir 0.435 0.565 0.860
Ir 0.565 0.435 0.140
Ir 0.565 0.435 0.360
Ir 0.786 0.214 0.580
Ir 0.786 0.214 0.920

Output
magnetic moment = 0.474 μB per formula unit
volume = 16.32 A^3/atom
total DFT energy (no corrections) = -7.9976 eV/atom

Record 8
VASP calculation (GGA-PBE) on crystalline HfGa2BPb at its relaxed geometry.

Unit cell a=5.726 b=5.726 c=4.407 alpha=90.00 beta=90.00 gamma=90.00
Fractional positions:
Hf 0.000 0.000 0.000
Ga 0.000 0.500 0.500
Ga 0.500 0.000 0.500
B 0.500 0.500 0.000
Pb 0.500 0.500 0.500

Output
magnetic moment = 0.000 μB per formula unit
volume = 28.90 A^3/atom
total DFT energy (no corrections) = -3.6758 eV/atom